Compound: MgReTcIr
Source: the Alexandria database
Functional: PBE
Structure: optimized geometry

Summary:
Theoretical density in Mg/m³: 14.0
Raw total energy in eV per formula unit: -33.20
Energy of formation from the pure elements in eV per atom: 0.02
SG: F-43m, No. 216

a = 4.384 Å, b = 4.384 Å, c = 4.384 Å
α = 60.00°, β = 60.00°, γ = 60.00°
Element x y z (fractional)
Mg: 0.000 0.000 0.000
Re: 0.500 0.500 0.500
Tc: 0.250 0.250 0.250
Ir: 0.750 0.750 0.750

Compound: NiPtCl2
Source: the Alexandria database
Functional: PBE
Structure: optimized geometry

Summary:
Theoretical density in Mg/m³: 8.4
Raw total energy in eV per formula unit: -13.01
Energy relative to the lowest polymorph listed for this composition in kJ/mol of atoms: 81.6
SG: Cmmm, No. 65

a = 4.472 Å, b = 4.472 Å, c = 3.226 Å
α = 90.00°, β = 90.00°, γ = 90.09°
Element x y z (fractional)
Ni: 0.000 0.000 0.000
Pt: 0.500 0.500 0.000
Cl: 0.000 0.500 0.500
Cl: 0.500 0.000 0.500

Compound: RbSb3Pd
Source: the Alexandria database
Functional: PBE
Structure: optimized geometry

Summary:
Theoretical density in Mg/m³: 5.8
Raw total energy in eV per formula unit: -18.30
Energy relative to the lowest polymorph listed for this composition in kJ/mol of atoms: 34.3
SG: Pm-3m, No. 221

a = 5.425 Å, b = 5.425 Å, c = 5.425 Å
α = 90.00°, β = 90.00°, γ = 90.00°
Element x y z (fractional)
Rb: 0.000 0.000 0.000
Sb: 0.000 0.500 0.500
Sb: 0.500 0.000 0.500
Sb: 0.500 0.500 0.000
Pd: 0.500 0.500 0.500

Compound: LaDy6Ho2Er
Source: the Alexandria database
Functional: PBE
Structure: optimized geometry

Summary:
Theoretical density in Mg/m³: 8.3
Raw total energy in eV per formula unit: -45.05
Energy of formation from the pure elements in eV per atom: 0.12
SG: C2/c, No. 15

a = 8.796 Å, b = 8.796 Å, c = 9.462 Å
α = 92.97°, β = 92.97°, γ = 117.23°
Element x y z (fractional)
La: 0.031 0.969 0.750
La: 0.969 0.031 0.250
Dy: 0.013 0.559 0.682
Dy: 0.124 0.753 0.058
Dy: 0.247 0.876 0.442
Dy: 0.292 0.513 0.884
Dy: 0.441 0.987 0.818
Dy: 0.487 0.708 0.616
Dy: 0.513 0.292 0.384
Dy: 0.559 0.013 0.182
Dy: 0.708 0.487 0.116
Dy: 0.753 0.124 0.558
Dy: 0.876 0.247 0.942
Dy: 0.987 0.441 0.318
Ho: 0.201 0.307 0.550
Ho: 0.307 0.201 0.050
Ho: 0.693 0.799 0.950
Ho: 0.799 0.693 0.450
Er: 0.411 0.589 0.250
Er: 0.589 0.411 0.750

Compound: Nd2ThTe2As2
Source: the Alexandria database
Functional: PBE
Structure: optimized geometry

Summary:
Theoretical density in Mg/m³: 6.3
Raw total energy in eV per formula unit: -39.43
SG: I4/mmm, No. 139

a = 8.824 Å, b = 8.824 Å, c = 8.824 Å
α = 143.31°, β = 143.31°, γ = 52.85°
Element x y z (fractional)
Nd: 0.114 0.114 0.000
Nd: 0.886 0.886 0.000
Th: 0.500 0.500 0.000
Te: 0.306 0.306 0.000
Te: 0.694 0.694 0.000
As: 0.000 0.500 0.500
As: 0.500 0.000 0.500

Compound: Cr3SiW
Source: the Alexandria database
Functional: PBE
Structure: optimized geometry

Summary:
Theoretical density in Mg/m³: 8.2
Raw total energy in eV per formula unit: -41.95
Energy relative to the lowest polymorph listed for this composition in kJ/mol of atoms: 0.0
SG: Pm-3m, No. 221

a = 4.200 Å, b = 4.200 Å, c = 4.200 Å
α = 90.00°, β = 90.00°, γ = 90.00°
Element x y z (fractional)
Cr: 0.000 0.000 0.500
Cr: 0.000 0.500 0.000
Cr: 0.500 0.000 0.000
Si: 0.000 0.000 0.000
W: 0.500 0.500 0.500